NdCr2RuO8 | the Alexandria database | GGA+U | relaxed; VASP energy = -0.27077 hartree per atom; D(E_F) = 6.04 states/eV/f.u.
1.0
4.716 0.000 0.000
0.000 6.421 0.000
-0.158 0.000 4.761
Nd Cr Ru O
1 2 1 8
Cartesian
0.000 0.000 0.000
2.279 1.602 2.380
2.279 4.819 2.380
0.000 3.211 0.000
0.987 1.870 0.962
0.987 4.551 0.962
1.244 3.211 3.341
1.409 0.000 3.132
3.150 0.000 1.628
3.315 3.211 1.420
3.572 1.870 3.798
3.572 4.551 3.798